A.
An optimized crystal structure of Tb2Er2Mg3. Source: the Alexandria database, functional PBE-GGA.

Cell lengths 3.8312, 3.6832, 14.1554 Å; angles 90.00, 82.22, 90.00 degrees
Atoms (fractional coordinates):
Mg (0.0000, 0.0000, 0.0000)
Mg (0.1354, 0.0000, 0.7292)
Mg (0.8646, 0.0000, 0.2708)
Tb (0.4309, 0.5000, 0.1381)
Tb (0.5691, 0.5000, 0.8619)
Er (0.2996, 0.5000, 0.4008)
Er (0.7004, 0.5000, 0.5992)

Computed properties:
Magnetization (μB/f.u.): 0.0

=====

B.
An optimized crystal structure of Tb2Er2Mg3. Source: the Alexandria database, functional PBE-GGA.

Cell lengths 3.5016, 7.1112, 9.1548 Å; angles 114.60, 90.01, 104.20 degrees
Atoms (fractional coordinates):
Mg (0.3224, 0.6421, 0.7913)
Mg (0.6776, 0.3579, 0.2087)
Mg (0.0000, 0.0000, 0.0000)
Tb (0.8928, 0.7840, 0.5461)
Tb (0.1072, 0.2160, 0.4539)
Er (0.3700, 0.7404, 0.1834)
Er (0.6300, 0.2596, 0.8166)

Computed properties:
Magnetization (μB/f.u.): 0.0

=====

Sorted by energy, starting with the most stable: A, B.

=====

A.
An optimized crystal structure of TbErTmMg. Source: the Alexandria database, functional PBE-GGA.

Cell lengths 5.4603, 5.4603, 5.4603 Å; angles 60.00, 60.00, 60.00 degrees
Atoms (fractional coordinates):
Tb (0.2500, 0.2500, 0.2500)
Tm (0.5000, 0.5000, 0.5000)
Mg (0.0000, 0.0000, 0.0000)
Er (0.7500, 0.7500, 0.7500)

Computed properties:
Magnetization (μB/f.u.): 0.0

=====

B.
An optimized crystal structure of TbErTmMg. Source: the Alexandria database, functional PBE-GGA.

Cell lengths 3.5327, 3.5342, 9.3199 Å; angles 90.00, 89.99, 90.00 degrees
Atoms (fractional coordinates):
Er (0.6077, 0.9297, 0.8427)
Mg (0.6075, 0.9296, 0.3369)
Tm (0.1075, 0.4296, 0.1015)
Tb (0.1077, 0.4296, 0.5796)

Computed properties:
Magnetization (μB/f.u.): 0.0

=====

Sorted by energy, starting with the most stable: B, A.

=====

A.
An optimized crystal structure of TbErMgZn. Source: the Alexandria database, functional PBE-GGA.

Cell lengths 3.5676, 3.5676, 7.8346 Å; angles 90.00, 90.00, 90.00 degrees
Atoms (fractional coordinates):
Tb (0.0000, 0.0000, 0.3841)
Er (0.0000, 0.0000, 0.8285)
Mg (0.5000, 0.5000, 0.1021)
Zn (0.5000, 0.5000, 0.6132)

Computed properties:
Magnetization (μB/f.u.): 0.0

=====

B.
An optimized crystal structure of TbErMgZn. Source: the Alexandria database, functional PBE-GGA.

Cell lengths 5.1808, 5.1808, 5.1808 Å; angles 60.00, 60.00, 60.00 degrees
Atoms (fractional coordinates):
Zn (0.0000, 0.0000, 0.0000)
Tb (0.7500, 0.7500, 0.7500)
Mg (0.5000, 0.5000, 0.5000)
Er (0.2500, 0.2500, 0.2500)

Computed properties:
Magnetization (μB/f.u.): 0.0

=====

Sorted by energy, starting with the most stable: A, B.

=====

A.
An optimized crystal structure of Er2MgTe. Source: the Alexandria database, functional PBE-GGA.

Cell lengths 3.8272, 3.8272, 10.7917 Å; angles 79.79, 79.79, 60.00 degrees
Atoms (fractional coordinates):
Er (0.1024, 0.1024, 0.6928)
Er (0.8976, 0.8976, 0.3072)
Mg (0.0000, 0.0000, 0.0000)
Te (0.5000, 0.5000, 0.5000)

Computed properties:
Magnetization (μB/f.u.): 0.0

=====

B.
An optimized crystal structure of Er2MgTe. Source: the Alexandria database, functional PBE-GGA.

Cell lengths 3.8711, 3.8711, 6.9786 Å; angles 90.00, 90.00, 90.00 degrees
Atoms (fractional coordinates):
Mg (0.5000, 0.5000, 0.0000)
Te (0.5000, 0.5000, 0.5000)
Er (0.0000, 0.0000, 0.2511)
Er (0.0000, 0.0000, 0.7489)

Computed properties:
Magnetization (μB/f.u.): 0.0

=====

Sorted by energy, starting with the most stable: B, A.

=====

A.
An optimized crystal structure of Er2MgTe. Source: the Alexandria database, functional PBE-GGA.

Cell lengths 3.9157, 3.9157, 9.2750 Å; angles 77.81, 77.81, 60.00 degrees
Atoms (fractional coordinates):
Er (0.2580, 0.2580, 0.2260)
Er (0.0751, 0.0751, 0.7747)
Te (0.6671, 0.6671, 0.9986)
Mg (0.4998, 0.4998, 0.5007)

Computed properties:
Magnetization (μB/f.u.): 0.0

=====

B.
An optimized crystal structure of Er2MgTe. Source: the Alexandria database, functional PBE-GGA.

Cell lengths 3.9790, 6.8539, 10.4986 Å; angles 115.60, 112.29, 90.04 degrees
Atoms (fractional coordinates):
Er (0.7535, 0.9335, 0.3443)
Er (0.2443, 0.4289, 0.3348)
Er (0.7067, 0.4038, 0.7974)
Er (0.2159, 0.9084, 0.8069)
Mg (0.9811, 0.9096, 0.0727)
Mg (0.4779, 0.4286, 0.0690)
Te (0.9781, 0.4208, 0.5687)
Te (0.4823, 0.9164, 0.5731)

Computed properties:
Magnetization (μB/f.u.): 0.0

=====

Sorted by energy, starting with the most stable: B, A.

=====

A.
An optimized crystal structure of Er4ThMg. Source: the Alexandria database, functional PBE-GGA.

Cell lengths 3.5499, 3.5499, 14.2248 Å; angles 90.00, 90.00, 90.00 degrees
Atoms (fractional coordinates):
Mg (0.5000, 0.5000, 0.5000)
Th (0.0000, 0.0000, 0.0000)
Er (0.5000, 0.5000, 0.8276)
Er (0.5000, 0.5000, 0.1724)
Er (0.0000, 0.0000, 0.6524)
Er (0.0000, 0.0000, 0.3476)

Computed properties:
Magnetization (μB/f.u.): 0.0

=====

B.
An optimized crystal structure of Er4ThMg. Source: the Alexandria database, functional PBE-GGA.

Cell lengths 9.1709, 5.6793, 10.0251 Å; angles 88.29, 105.28, 133.21 degrees
Atoms (fractional coordinates):
Er (0.5382, 0.2897, 0.0807)
Er (0.2190, 0.0483, 0.4229)
Er (0.7039, 0.3746, 0.4229)
Er (0.9575, 0.2090, 0.9193)
Er (0.7810, 0.9517, 0.5771)
Er (0.4618, 0.7103, 0.9193)
Er (0.2961, 0.6254, 0.5771)
Er (0.0425, 0.7910, 0.0807)
Th (0.8753, 0.1253, 0.2506)
Th (0.1247, 0.8747, 0.7494)
Mg (0.6322, 0.3822, 0.7643)
Mg (0.3678, 0.6178, 0.2357)

Computed properties:
Magnetization (μB/f.u.): 0.0

=====

Sorted by energy, starting with the most stable: A, B.

=====

A.
An optimized crystal structure of Er2ThMg. Source: the Alexandria database, functional PBE-GGA.

Cell lengths 3.4791, 3.4791, 12.2016 Å; angles 81.80, 81.80, 60.00 degrees
Atoms (fractional coordinates):
Th (0.5000, 0.5000, 0.5000)
Er (0.9101, 0.9101, 0.2697)
Er (0.0899, 0.0899, 0.7303)
Mg (0.0000, 0.0000, 0.0000)

Computed properties:
Magnetization (μB/f.u.): 0.0

=====

B.
An optimized crystal structure of Er2ThMg. Source: the Alexandria database, functional PBE-GGA.

Cell lengths 5.5149, 5.5149, 5.5149 Å; angles 60.00, 60.00, 60.00 degrees
Atoms (fractional coordinates):
Th (0.0000, 0.0000, 0.0000)
Er (0.7500, 0.7500, 0.7500)
Er (0.2500, 0.2500, 0.2500)
Mg (0.5000, 0.5000, 0.5000)

Computed properties:
Magnetization (μB/f.u.): 1.4

=====

Sorted by energy, starting with the most stable: B, A.

=====

A.
An optimized crystal structure of Er2ThMg. Source: the Alexandria database, functional PBE-GGA.

Cell lengths 4.9414, 4.8797, 4.8797 Å; angles 90.00, 90.00, 90.00 degrees
Atoms (fractional coordinates):
Mg (0.5000, 0.0000, 0.0000)
Er (0.0000, 0.5000, 0.0000)
Er (0.0000, 0.0000, 0.5000)
Th (0.5000, 0.5000, 0.5000)

Computed properties:
Magnetization (μB/f.u.): 0.0

=====

B.
An optimized crystal structure of Er2ThMg. Source: the Alexandria database, functional PBE-GGA.

Cell lengths 3.5195, 3.5195, 11.3265 Å; angles 80.78, 80.78, 59.96 degrees
Atoms (fractional coordinates):
Mg (0.4999, 0.4999, 0.4995)
Er (0.0859, 0.0859, 0.7496)
Er (0.2474, 0.2474, 0.2508)
Th (0.6668, 0.6668, 0.0001)

Computed properties:
Magnetization (μB/f.u.): 0.0

=====

Sorted by energy, starting with the most stable: B, A.